## 1
First-principles (PBE-GGA) data for a relaxed structure of K4Pb, as listed in Alexandria via LeMat-Bulk.

The value obtained for the calculated density is 1.9 Mg/m³. The crystal system is monoclinic.

a b c (Å): 13.489 13.454 13.454
angles (deg): 80.63 62.52 62.52
Fractional positions:
1 K 0.250 0.389 0.611
2 K 0.500 0.000 0.500
3 K 0.714 0.499 0.741
4 K 0.577 0.596 0.171
5 K 0.608 0.258 0.317
6 K 0.077 0.171 0.596
7 K 0.000 0.500 0.000
8 K 0.786 0.259 0.501
9 K 0.214 0.741 0.499
10 K 0.392 0.742 0.683
11 K 0.750 0.611 0.389
12 K 0.108 0.317 0.258
13 K 0.855 0.277 0.965
14 K 0.923 0.829 0.404
15 K 0.286 0.501 0.259
16 K 0.448 0.839 0.933
17 K 0.645 0.035 0.723
18 K 0.145 0.723 0.035
19 K 0.948 0.933 0.839
20 K 0.423 0.404 0.829
21 K 0.052 0.067 0.161
22 K 0.552 0.161 0.067
23 K 0.355 0.965 0.277
24 K 0.892 0.683 0.742
25 Pb 0.750 0.213 0.787
26 Pb 0.334 0.222 0.367
27 Pb 0.834 0.367 0.222
28 Pb 0.666 0.778 0.633
29 Pb 0.250 0.787 0.213
30 Pb 0.166 0.633 0.778

## 2
First-principles (PBE-GGA) data for a relaxed structure of K4Pb, as listed in Alexandria via LeMat-Bulk.

The value obtained for the calculated density is 2.0 Mg/m³. The crystal system is cubic.

a b c (Å): 7.355 7.355 7.355
angles (deg): 109.47 109.47 109.47
Fractional positions:
1 K 0.500 0.000 0.000
2 K 0.000 0.500 0.000
3 K 0.000 0.000 0.500
4 K 0.500 0.500 0.500
5 Pb 0.000 0.000 0.000

Name the least stable of them. 2.

## 1
First-principles (PBE-GGA) data for a relaxed structure of KPd2Pb2, as listed in Alexandria via LeMat-Bulk.

The value obtained for the calculated density is 9.2 Mg/m³. The crystal system is tetragonal.

a b c (Å): 8.465 8.465 3.345
angles (deg): 90.00 90.00 90.00
Fractional positions:
1 K 0.500 0.500 0.000
2 K 0.000 0.000 0.000
3 Pb 0.151 0.651 0.500
4 Pb 0.849 0.349 0.500
5 Pb 0.349 0.151 0.500
6 Pb 0.651 0.849 0.500
7 Pd 0.134 0.366 0.000
8 Pd 0.634 0.134 0.000
9 Pd 0.866 0.634 0.000
10 Pd 0.366 0.866 0.000

## 2
First-principles (PBE-GGA) data for a relaxed structure of KPd2Pb2, as listed in Alexandria via LeMat-Bulk.

The value obtained for the calculated density is 8.3 Mg/m³. The crystal system is tetragonal.

a b c (Å): 4.925 4.925 6.519
angles (deg): 67.81 67.81 90.00
Fractional positions:
1 Pd 0.622 0.622 0.756
2 Pd 0.378 0.378 0.244
3 Pb 0.750 0.250 0.500
4 Pb 0.250 0.750 0.500
5 K 0.000 0.000 0.000

## 3
First-principles (PBE-GGA) data for a relaxed structure of KPd2Pb2, as listed in Alexandria via LeMat-Bulk.

The value obtained for the calculated density is 9.2 Mg/m³. The crystal system is tetragonal.

a b c (Å): 8.611 8.611 3.255
angles (deg): 90.00 90.00 90.00
Fractional positions:
1 Pd 0.653 0.847 0.500
2 Pd 0.847 0.347 0.500
3 Pd 0.153 0.653 0.500
4 Pd 0.347 0.153 0.500
5 Pb 0.364 0.864 0.000
6 Pb 0.636 0.136 0.000
7 Pb 0.136 0.364 0.000
8 Pb 0.864 0.636 0.000
9 K 0.000 0.000 0.000
10 K 0.500 0.500 0.000

## 4
First-principles (PBE-GGA) data for a relaxed structure of KPd2Pb2, as listed in Alexandria via LeMat-Bulk.

The value obtained for the calculated density is 8.1 Mg/m³. The crystal system is monoclinic.

a b c (Å): 4.792 5.190 6.342
angles (deg): 108.47 112.20 90.00
Fractional positions:
1 Pb 0.651 0.598 0.302
2 Pb 0.349 0.402 0.698
3 Pd 0.746 0.167 0.492
4 Pd 0.254 0.833 0.508
5 K 0.000 0.000 0.000

Name the least stable of them. 3.

## 1
First-principles (PBE-GGA) data for a relaxed structure of K2PdPb2, as listed in Alexandria via LeMat-Bulk.

The value obtained for the calculated density is 5.8 Mg/m³. The crystal system is monoclinic.

a b c (Å): 5.062 6.845 10.932
angles (deg): 84.58 76.61 68.30
Fractional positions:
1 Pb 0.374 0.129 0.123
2 Pb 0.877 0.811 0.434
3 Pb 0.123 0.189 0.566
4 Pb 0.626 0.871 0.877
5 Pd 0.356 0.935 0.353
6 Pd 0.644 0.065 0.647
7 K 0.908 0.291 0.893
8 K 0.647 0.375 0.331
9 K 0.092 0.709 0.107
10 K 0.353 0.625 0.669

## 2
First-principles (PBE-GGA) data for a relaxed structure of K2PdPb2, as listed in Alexandria via LeMat-Bulk.

The value obtained for the calculated density is 5.1 Mg/m³. The crystal system is tetragonal.

a b c (Å): 4.947 4.947 16.448
angles (deg): 98.65 98.65 90.00
Fractional positions:
1 Pb 0.466 0.966 0.932
2 Pb 0.716 0.716 0.432
3 Pb 0.034 0.534 0.068
4 Pb 0.284 0.284 0.568
5 K 0.577 0.077 0.154
6 K 0.173 0.173 0.346
7 K 0.827 0.827 0.654
8 K 0.923 0.423 0.846
9 Pd 0.500 0.500 0.000
10 Pd 0.250 0.750 0.500

Name the least stable of them. 2.

## 1
First-principles (PBE-GGA) data for a relaxed structure of KPd4Pb2, as listed in Alexandria via LeMat-Bulk.

The value obtained for the calculated density is 9.6 Mg/m³. The crystal system is tetragonal.

a b c (Å): 4.296 8.430 8.430
angles (deg): 90.00 90.00 90.00
Fractional positions:
1 Pd 0.500 0.145 0.585
2 Pd 0.000 0.915 0.645
3 Pd 0.500 0.585 0.145
4 Pd 0.000 0.085 0.355
5 Pd 0.000 0.355 0.085
6 Pd 0.500 0.855 0.415
7 Pd 0.000 0.645 0.915
8 Pd 0.500 0.415 0.855
9 Pb 0.500 0.276 0.276
10 Pb 0.500 0.724 0.724
11 Pb 0.000 0.224 0.776
12 Pb 0.000 0.776 0.224
13 K 0.000 0.500 0.500
14 K 0.500 0.000 0.000

## 2
First-principles (PBE-GGA) data for a relaxed structure of KPd4Pb2, as listed in Alexandria via LeMat-Bulk.

The value obtained for the calculated density is 9.4 Mg/m³. The crystal system is tetragonal.

a b c (Å): 7.385 7.385 7.385
angles (deg): 108.91 109.75 109.75
Fractional positions:
1 Pb 0.500 0.347 0.153
2 Pb 0.195 0.847 0.347
3 Pb 0.805 0.153 0.653
4 Pb 0.500 0.653 0.847
5 K 0.000 0.250 0.250
6 K 0.000 0.750 0.750
7 Pd 0.500 0.309 0.520
8 Pd 0.211 0.191 0.691
9 Pd 0.500 0.691 0.480
10 Pd 0.789 0.809 0.309
11 Pd 0.211 0.520 0.020
12 Pd 0.500 0.980 0.191
13 Pd 0.789 0.480 0.980
14 Pd 0.500 0.020 0.809

Name the least stable of them. 1.

## 1
First-principles (PBE-GGA) data for a relaxed structure of KPd2Pb3, as listed in Alexandria via LeMat-Bulk.

The value obtained for the calculated density is 8.7 Mg/m³. The crystal system is orthorhombic.

a b c (Å): 5.897 8.185 8.185
angles (deg): 122.56 90.00 90.00
Fractional positions:
1 Pb 0.750 0.521 0.121
2 Pb 0.250 0.479 0.879
3 Pb 0.250 0.879 0.479
4 Pb 0.750 0.121 0.521
5 Pb 0.250 0.888 0.888
6 Pb 0.750 0.112 0.112
7 Pd 0.000 0.163 0.837
8 Pd 0.000 0.837 0.163
9 Pd 0.500 0.837 0.163
10 Pd 0.500 0.163 0.837
11 K 0.250 0.348 0.348
12 K 0.750 0.652 0.652

## 2
First-principles (PBE-GGA) data for a relaxed structure of KPd2Pb3, as listed in Alexandria via LeMat-Bulk.

The value obtained for the calculated density is 8.6 Mg/m³. The crystal system is trigonal.

a b c (Å): 7.642 7.642 7.970
angles (deg): 61.35 61.35 60.00
Fractional positions:
1 Pd 0.000 0.500 0.000
2 Pd 0.500 0.000 0.000
3 Pd 0.500 0.500 0.000
4 Pd 0.000 0.000 0.000
5 Pb 0.736 0.736 0.262
6 Pb 0.264 0.735 0.738
7 Pb 0.264 0.264 0.738
8 Pb 0.265 0.736 0.262
9 Pb 0.736 0.265 0.262
10 Pb 0.735 0.264 0.738
11 K 0.779 0.779 0.663
12 K 0.221 0.221 0.337

Name the least stable of them. 2.

## 1
First-principles (PBE-GGA) data for a relaxed structure of K3Pd3Pb8, as listed in Alexandria via LeMat-Bulk.

The value obtained for the calculated density is 8.2 Mg/m³. The crystal system is orthorhombic.

a b c (Å): 5.006 9.640 9.640
angles (deg): 75.46 74.95 74.95
Fractional positions:
1 Pb 0.168 0.196 0.467
2 Pb 0.832 0.804 0.533
3 Pb 0.611 0.688 0.090
4 Pb 0.389 0.312 0.910
5 Pb 0.168 0.467 0.196
6 Pb 0.611 0.090 0.688
7 Pb 0.832 0.533 0.804
8 Pb 0.389 0.910 0.312
9 K 0.837 0.163 0.163
10 K 0.163 0.837 0.837
11 K 0.500 0.500 0.500
12 Pd 0.000 0.755 0.245
13 Pd 0.000 0.245 0.755
14 Pd 0.500 0.000 0.000

## 2
First-principles (PBE-GGA) data for a relaxed structure of K3Pd3Pb8, as listed in Alexandria via LeMat-Bulk.

The value obtained for the calculated density is 8.7 Mg/m³. The crystal system is monoclinic.

a b c (Å): 5.259 9.390 9.480
angles (deg): 65.25 73.89 73.74
Fractional positions:
1 Pd 0.656 0.676 0.012
2 Pd 0.344 0.324 0.988
3 Pd 0.000 0.500 0.500
4 Pb 0.649 0.956 0.747
5 Pb 0.858 0.844 0.440
6 Pb 0.494 0.341 0.671
7 Pb 0.351 0.044 0.253
8 Pb 0.845 0.443 0.867
9 Pb 0.155 0.557 0.133
10 Pb 0.142 0.156 0.560
11 Pb 0.506 0.659 0.329
12 K 0.000 0.000 0.000
13 K 0.285 0.718 0.712
14 K 0.715 0.282 0.288

Name the least stable of them. 1.

## 1
First-principles (PBE-GGA) data for a relaxed structure of K2Pd2Pb, as listed in Alexandria via LeMat-Bulk.

The value obtained for the calculated density is 5.9 Mg/m³. The crystal system is tetragonal.

a b c (Å): 7.117 7.117 5.508
angles (deg): 90.00 90.00 90.00
Fractional positions:
1 Pb 0.000 0.000 0.000
2 Pb 0.500 0.500 0.000
3 Pd 0.134 0.366 0.000
4 Pd 0.866 0.634 0.000
5 Pd 0.634 0.134 0.000
6 Pd 0.366 0.866 0.000
7 K 0.826 0.326 0.500
8 K 0.326 0.174 0.500
9 K 0.674 0.826 0.500
10 K 0.174 0.674 0.500

## 2
First-principles (PBE-GGA) data for a relaxed structure of K2Pd2Pb, as listed in Alexandria via LeMat-Bulk.

The value obtained for the calculated density is 4.4 Mg/m³. The crystal system is trigonal.

a b c (Å): 4.741 4.741 9.589
angles (deg): 90.00 90.00 120.00
Fractional positions:
1 Pd 0.333 0.667 0.047
2 Pd 0.667 0.333 0.953
3 K 0.333 0.667 0.713
4 K 0.667 0.333 0.287
5 Pb 0.000 0.000 0.000

Name the least stable of them. 1.

## 1
First-principles (PBE-GGA) data for a relaxed structure of KRbPdPb2, as listed in Alexandria via LeMat-Bulk.

The value obtained for the calculated density is 5.9 Mg/m³. The crystal system is tetragonal.

a b c (Å): 5.467 5.467 6.127
angles (deg): 90.00 90.00 90.00
Fractional positions:
1 Pd 0.000 0.000 0.000
2 Pb 0.500 0.000 0.000
3 Pb 0.000 0.500 0.000
4 K 0.000 0.000 0.500
5 Rb 0.500 0.500 0.500

## 2
First-principles (PBE-GGA) data for a relaxed structure of KRbPdPb2, as listed in Alexandria via LeMat-Bulk.

The value obtained for the calculated density is 5.7 Mg/m³. The crystal system is tetragonal.

a b c (Å): 5.475 5.475 6.232
angles (deg): 90.00 90.00 90.00
Fractional positions:
1 Pb 0.000 0.500 0.000
2 Pb 0.500 0.000 0.000
3 Pd 0.000 0.000 0.000
4 K 0.500 0.500 0.500
5 Rb 0.000 0.000 0.500

Name the least stable of them. 2.

## 1
First-principles (PBE-GGA) data for a relaxed structure of KPmPb, as listed in Alexandria via LeMat-Bulk.

The value obtained for the calculated density is 5.7 Mg/m³. The crystal system is tetragonal.

a b c (Å): 3.657 3.657 8.880
angles (deg): 101.88 101.88 90.00
Fractional positions:
1 K 0.020 0.020 0.040
2 Pb 0.677 0.677 0.355
3 Pm 0.303 0.303 0.605

## 2
First-principles (PBE-GGA) data for a relaxed structure of KPmPb, as listed in Alexandria via LeMat-Bulk.

The value obtained for the calculated density is 5.0 Mg/m³. The crystal system is monoclinic.

a b c (Å): 5.671 5.671 8.111
angles (deg): 89.87 89.99 90.00
Fractional positions:
1 Pm 0.750 0.751 0.000
2 Pm 0.250 0.249 0.000
3 K 0.750 0.251 0.375
4 K 0.250 0.749 0.625
5 Pb 0.750 0.252 0.816
6 Pb 0.250 0.748 0.184

Name the least stable of them. 1.

## 1
First-principles (PBE-GGA) data for a relaxed structure of KPrPb2, as listed in Alexandria via LeMat-Bulk.

The value obtained for the calculated density is 7.2 Mg/m³. The crystal system is trigonal.

a b c (Å): 3.743 3.743 11.568
angles (deg): 80.69 80.69 60.00
Fractional positions:
1 Pr 0.000 0.000 0.000
2 K 0.500 0.500 0.500
3 Pb 0.254 0.254 0.238
4 Pb 0.746 0.746 0.762

## 2
First-principles (PBE-GGA) data for a relaxed structure of KPrPb2, as listed in Alexandria via LeMat-Bulk.

The value obtained for the calculated density is 7.7 Mg/m³. The crystal system is tetragonal.

a b c (Å): 4.796 5.183 5.183
angles (deg): 90.00 90.00 90.00
Fractional positions:
1 Pr 0.500 0.500 0.500
2 Pb 0.000 0.000 0.500
3 Pb 0.000 0.500 0.000
4 K 0.500 0.000 0.000

Name the least stable of them. 1.